# SrYSe2

An optimized crystal structure of SrYSe2 (PBE, the Alexandria database).

The structure in extended XYZ format:
```
4
Lattice="5.221 0.000 0.000 2.611 4.522 0.000 2.611 1.507 4.263" Properties=species:S:1:pos:R:3 pbc="T T T"
Y 7.832 4.522 3.197
Sr 5.221 3.015 2.132
Se 2.611 1.507 1.066
Se 0.000 0.000 0.000
```

ρ: 5.52 g/cm³
calculated total energy: -4.327 eV/atom
total magnetic moment: 0.0 μB per formula unit
space-group type: No. 216
raw formation energy: -0.548 eV per atom
energy relative to the lowest polymorph listed for this composition: 1343.6 meV/atom